NaSrDyWO6 | Alexandria | GGA+U | optimized geometry; raw total energy = -7.082 eV/atom; N(E_F) = 0.0 states/eV/f.u.; space-group type = No. 216
1.0
1.985 -3.580 -4.242
0.335 -5.807 0.961
-3.716 -3.661 -2.746
Na Sr Dy W O
1 1 1 1 6
Direct
0.750 0.750 0.750
0.250 0.250 0.250
0.000 0.000 0.000
0.500 0.500 0.500
0.266 0.734 0.266
0.734 0.266 0.734
0.266 0.734 0.734
0.734 0.266 0.266
0.266 0.266 0.734
0.734 0.734 0.266